The following is a DFT calculation (PBE-GGA) of crystalline VCuGe2 at its relaxed geometry.

Cell lengths 4.9338, 4.9338, 5.2866 Å; angles 90.00, 90.00, 62.29 degrees
Last column: magnetic moment on the atom in μB.
Element x y z (fractional)
Ge 0.5000 0.5000 0.5000  -0.03
Ge 0.0000 0.0000 0.5000  -0.03
Ge 0.5000 0.0000 0.1683  -0.01
Ge 0.0000 0.5000 0.8317  -0.01
V 0.5000 0.0000 0.6767  0.75
V 0.0000 0.5000 0.3233  0.75
Cu 0.5000 0.5000 0.0000  0.01
Cu 0.0000 0.0000 0.0000  0.01

## Properties
**Total magnetic moment**: 0.80 μB per formula unit
**N(E_F)**: 0.66 states/eV/atom
**Electronic total energy**: -45.5 eV/cell
**Calculated density**: 7.6 Mg/m³